Entry from Alexandria: YSc5 after structural relaxation (PBEsol).

Unit cell a=3.3265 b=6.1344 c=7.7169 alpha=102.28 beta=90.00 gamma=105.73
Sites, in units of the cell vectors:
Sc 0.6669 0.3338 0.3370
Sc 0.3912 0.7824 0.2839
Sc 0.3374 0.6748 0.6604
Sc 0.9973 0.9946 0.0060
Sc 0.0539 0.1079 0.6052
Y 0.7200 0.4399 0.9410

* E above lowest polymorph: 0 meV/atom
* calculated formation energy: 0.10 eV/f.u.
* space group: Cm (8)